[1]
An optimized crystal structure of FeCo2Hg. Source: the Alexandria database, functional PBE.

As for the spin magnetization: 5.8 μB per formula unit. Its total energy is -5.380 eV/atom. The formation enthalpy at 0 K is 0.364 eV per atom.

It has space group R-3m (No. 166, hexagonal axes), with a = 2.7972 Å, b = 2.7972 Å, c = 24.9940 Å, α = 90.00°, β = 90.00° and γ = 120.00°. Symmetry generates all atoms from Fe at (0.0000, 0.0000, 0.0000), Co at (0.0000, 0.0000, 0.2610) and Hg at (0.0000, 0.0000, 0.5000).

[2]
An optimized crystal structure of FeCoHg2. Source: the Alexandria database, functional PBE.

The value obtained for the distance to the lowest polymorph of the same formula is 223 meV/atom. As for the spin magnetization: 4.2 μB per formula unit. Its total energy is -3.529 eV/atom. The formation enthalpy at 0 K is 0.514 eV per atom.

It has space group P2/m (No. 10), with a = 3.0600 Å, b = 3.5076 Å, c = 6.0750 Å, α = 90.00°, β = 90.26° and γ = 90.00°. Symmetry generates all atoms from Fe at (0.0000, 0.0000, 0.0000), Co at (0.0000, 0.0000, 0.5000) and Hg at (0.4999, 0.5000, 0.2548).

[3]
An optimized crystal structure of Fe2CoHg2. Source: the Alexandria database, functional PBE.

As for the spin magnetization: 7.1 μB per formula unit. Its total energy is -4.219 eV/atom. The formation enthalpy at 0 K is 0.708 eV per atom.

It has space group P4/mbm (No. 127), with a = 7.6832 Å, b = 7.6832 Å, c = 2.8571 Å, α = 90.00°, β = 90.00° and γ = 90.00°. Symmetry generates all atoms from Fe at (0.1107, 0.3893, 0.0000), Co at (0.0000, 0.0000, 0.5000) and Hg at (0.1843, 0.6843, 0.5000).